# VOs2W GGA-PBE relaxed
# Calculated formation energy in eV/atom: 0.0969
# Energy relative to the lowest polymorph listed for this composition in eV per formula unit: 0.63
# E_tot in eV per atom: -11.036
# DOS(E_F) in states/eV/atom: 1.44
data_VOs2W
_chemical_formula_sum 'V1 Os2 W1'
_space_group_name_H-M_alt 'P 1'
_space_group_IT_number 1
_space_group_name_Hall 'P 1'
_cell_length_a 4.365
_cell_length_b 4.365
_cell_length_c 4.365
_cell_angle_alpha 60.00
_cell_angle_beta 60.00
_cell_angle_gamma 60.00
loop_
_atom_site_label
_atom_site_type_symbol
_atom_site_fract_x
_atom_site_fract_y
_atom_site_fract_z
_atom_site_occupancy
V1 V 0.000 0.000 0.000 1
Os1 Os 0.250 0.250 0.250 1
Os2 Os 0.750 0.750 0.750 1
W1 W 0.500 0.500 0.500 1